A relaxed structure of MgBe2Al2, computed with PBE.

Summary:
* magnetic moment: 0.0 μB per formula unit
* SG: P4/mbm (127)

a b c (Å): 7.368 7.368 2.681
angles (deg): 90.00 90.00 90.00
Atoms (fractional coordinates):
Mg  0.000  0.000  0.000
Mg  0.500  0.500  0.000
Be  0.166  0.334  0.500
Be  0.334  0.834  0.500
Be  0.666  0.166  0.500
Be  0.834  0.666  0.500
Al  0.130  0.630  0.000
Al  0.370  0.130  0.000
Al  0.630  0.870  0.000
Al  0.870  0.370  0.000

=====

A relaxed structure of Mg2BeAl, computed with PBE.

Summary:
* magnetic moment: 0.0 μB per formula unit
* SG: P2/m (10)

a b c (Å): 2.990 3.944 5.843
angles (deg): 90.00 90.33 90.00
Atoms (fractional coordinates):
Mg  0.000  0.000  0.237
Mg  0.000  0.000  0.763
Be  0.500  0.500  0.000
Al  0.500  0.500  0.500

=====

A relaxed structure of MgBeAl2, computed with PBE.

Summary:
* magnetic moment: 0.0 μB per formula unit
* SG: P4/mmm (123)

a b c (Å): 3.929 3.929 4.104
angles (deg): 90.00 90.00 90.00
Atoms (fractional coordinates):
Mg  0.000  0.000  0.000
Be  0.500  0.500  0.000
Al  0.000  0.500  0.500
Al  0.500  0.000  0.500

=====

A relaxed structure of MgBeAl, computed with PBE.

Summary:
* magnetic moment: 0.0 μB per formula unit
* SG: P2_1/m (11)

a b c (Å): 4.698 3.935 5.371
angles (deg): 90.00 101.49 90.00
Atoms (fractional coordinates):
Mg  0.231  0.250  0.448
Mg  0.769  0.750  0.552
Be  0.085  0.250  0.938
Be  0.915  0.750  0.062
Al  0.346  0.750  0.863
Al  0.654  0.250  0.137

=====

A relaxed structure of MgBeAl, computed with PBE.

Summary:
* magnetic moment: 0.0 μB per formula unit
* SG: Imm2 (44)

a b c (Å): 5.217 5.217 5.217
angles (deg): 148.99 139.40 51.95
Atoms (fractional coordinates):
Mg  0.000  0.000  0.000
Be  0.317  0.317  0.000
Al  0.700  0.700  0.000

=====

A relaxed structure of MgBeAl2, computed with PBE.

Summary:
* magnetic moment: 0.0 μB per formula unit
* SG: I-42d (122)

a b c (Å): 9.515 9.515 9.515
angles (deg): 155.91 155.91 34.33
Atoms (fractional coordinates):
Mg  0.000  0.000  0.000
Mg  0.750  0.250  0.500
Be  0.250  0.750  0.500
Be  0.500  0.500  0.000
Al  0.146  0.625  0.021
Al  0.375  0.396  0.521
Al  0.604  0.125  0.979
Al  0.875  0.854  0.479

=====

A relaxed structure of MgBeAl2, computed with PBE.

Summary:
* magnetic moment: 0.0 μB per formula unit
* SG: Fm-3m (225)

a b c (Å): 4.484 4.484 4.484
angles (deg): 60.00 60.00 60.00
Atoms (fractional coordinates):
Mg  0.000  0.000  0.000
Be  0.500  0.500  0.500
Al  0.250  0.250  0.250
Al  0.750  0.750  0.750

=====

A relaxed structure of MgBeAl2, computed with PBE.

Summary:
* magnetic moment: 0.0 μB per formula unit
* SG: P2/m (10)

a b c (Å): 5.075 3.760 7.292
angles (deg): 90.00 108.36 90.00
Atoms (fractional coordinates):
Mg  0.136  0.000  0.304
Mg  0.864  0.000  0.696
Be  0.431  0.000  0.846
Be  0.569  0.000  0.154
Al  0.249  0.500  0.000
Al  0.331  0.500  0.627
Al  0.669  0.500  0.373
Al  0.751  0.500  0.000

=====

Number 1: energy relative to the lowest polymorph listed for this composition 66 meV per atom, DFT total energy -30.24 eV per cell. Number 2: energy relative to the lowest polymorph listed for this composition 164 meV per atom, DFT total energy -9.71 eV per cell. Number 3: energy relative to the lowest polymorph listed for this composition 138 meV per atom, DFT total energy -11.96 eV per cell. Number 4: energy relative to the lowest polymorph listed for this composition 54 meV per atom, DFT total energy -17.39 eV per cell. Number 5: energy relative to the lowest polymorph listed for this composition 202 meV per atom, DFT total energy -8.25 eV per cell. Number 6: energy relative to the lowest polymorph listed for this composition 357 meV per atom, DFT total energy -22.17 eV per cell. Number 7: energy relative to the lowest polymorph listed for this composition 244 meV per atom, DFT total energy -11.53 eV per cell. Number 8: energy relative to the lowest polymorph listed for this composition 17 meV per atom, DFT total energy -24.88 eV per cell.